1.
5
Lattice="4.147 0.000 0.000 0.000 4.147 0.000 0.000 0.000 4.125" Properties=species:S:1:pos:R:3 comment="NaBeTc2P (GGA-PBEsol, relaxed)" space_group="No. 123" formation_enthalpy_0k_ev_per_atom=1.078 energy_ev_per_atom=-5.6663 total_magnetization_mub_per_cell=0.3 pbc="T T T"
Tc 2.073 0.000 0.000
Tc 0.000 2.073 0.000
P 2.073 2.073 2.063
Na 0.000 0.000 2.063
Be 0.000 0.000 0.000

---

2.
8
Lattice="-4.362 0.951 0.486 -3.631 -6.924 1.711 -1.069 1.744 7.738" Properties=species:S:1:pos:R:3 comment="Na2BePb (GGA-PBEsol, relaxed)" space_group="No. 122" formation_enthalpy_0k_ev_per_atom=0.343 energy_ev_per_atom=-2.3568 total_magnetization_mub_per_cell=0.0 pbc="T T T"
Pb -5.621 -1.876 5.089
Pb 0.000 0.000 0.000
Na -2.997 -1.568 2.106
Na -7.155 -2.423 7.950
Na -4.651 -4.846 4.051
Na -3.321 0.380 5.762
Be -3.440 -2.352 4.846
Be -2.181 0.476 0.243

---

3.
5
Lattice="4.633 0.000 0.000 0.000 4.782 0.000 0.000 0.000 4.782" Properties=species:S:1:pos:R:3 comment="NaBeRhPb2 (GGA-PBEsol, relaxed)" space_group="No. 123" formation_enthalpy_0k_ev_per_atom=0.761 energy_ev_per_atom=-3.5465 total_magnetization_mub_per_cell=0.0 pbc="T T T"
Be 0.000 0.000 0.000
Rh 2.317 2.391 2.391
Na 2.317 0.000 0.000
Pb 0.000 2.391 0.000
Pb 0.000 0.000 2.391

---

Question: Which formula does entry 1 have?
Answer: NaBeTc2P